1.
Material: YErScOs
Method: DFT, PBE-GGA
State: relaxed

CIF file:
```
data_YErScOs
_chemical_formula_sum 'Y1 Er1 Sc1 Os1'
_symmetry_space_group_name_H-M 'P 1'
_symmetry_Int_Tables_number 1
_cell_length_a 5.0133
_cell_length_b 5.0133
_cell_length_c 5.0133
_cell_angle_alpha 60.00
_cell_angle_beta 60.00
_cell_angle_gamma 60.00
loop_
_symmetry_equiv_pos_as_xyz
'x,y,z'
loop_
_atom_site_label
_atom_site_type_symbol
_atom_site_fract_x
_atom_site_fract_y
_atom_site_fract_z
Os1 Os 0.5000 0.5000 0.5000
Sc1 Sc 0.0000 0.0000 0.0000
Y1 Y 0.2500 0.2500 0.2500
Er1 Er 0.7500 0.7500 0.7500
```

- D(E_F) (states/eV per cell) = 3.6
- total DFT energy (no corrections) (eV per atom) = -7.147
- ΔH_f (0 K) (eV/atom) = 0.000
- space-group type = No. 216
- V (Å³ per atom) = 22.3

2.
Material: ErZrScOs
Method: DFT, PBE-GGA
State: relaxed

CIF file:
```
data_ErZrScOs
_chemical_formula_sum 'Er1 Zr1 Sc1 Os1'
_symmetry_space_group_name_H-M 'P 1'
_symmetry_Int_Tables_number 1
_cell_length_a 4.8851
_cell_length_b 4.8851
_cell_length_c 4.8851
_cell_angle_alpha 60.00
_cell_angle_beta 60.00
_cell_angle_gamma 60.00
loop_
_symmetry_equiv_pos_as_xyz
'x,y,z'
loop_
_atom_site_label
_atom_site_type_symbol
_atom_site_fract_x
_atom_site_fract_y
_atom_site_fract_z
Os1 Os 0.0000 0.0000 0.0000
Sc1 Sc 0.5000 0.5000 0.5000
Er1 Er 0.7500 0.7500 0.7500
Zr1 Zr 0.2500 0.2500 0.2500
```

- D(E_F) (states/eV per cell) = 4.8
- total DFT energy (no corrections) (eV per atom) = -7.746
- ΔH_f (0 K) (eV/atom) = -0.078
- space-group type = No. 216
- V (Å³ per atom) = 20.6

3.
Material: Er4OsSe2
Method: DFT, PBE-GGA
State: relaxed

CIF file:
```
data_Er4OsSe2
_chemical_formula_sum 'Er8 Os2 Se4'
_symmetry_space_group_name_H-M 'P 1'
_symmetry_Int_Tables_number 1
_cell_length_a 3.8460
_cell_length_b 6.7805
_cell_length_c 13.9675
_cell_angle_alpha 90.00
_cell_angle_beta 90.00
_cell_angle_gamma 106.48
loop_
_symmetry_equiv_pos_as_xyz
'x,y,z'
loop_
_atom_site_label
_atom_site_type_symbol
_atom_site_fract_x
_atom_site_fract_y
_atom_site_fract_z
Er1 Er 0.7983 0.5965 0.1327
Er2 Er 0.7983 0.5965 0.3673
Er3 Er 0.5000 0.0000 0.5000
Er4 Er 0.2017 0.4035 0.6327
Er5 Er 0.2017 0.4035 0.8673
Er6 Er 0.5000 0.0000 0.0000
Er7 Er 0.0509 0.1019 0.2500
Er8 Er 0.9491 0.8981 0.7500
Os1 Os 0.5996 0.1992 0.7500
Os2 Os 0.4004 0.8008 0.2500
Se1 Se 0.8581 0.7162 0.9361
Se2 Se 0.8581 0.7162 0.5639
Se3 Se 0.1419 0.2838 0.0639
Se4 Se 0.1419 0.2838 0.4361
```

- D(E_F) (states/eV per cell) = 7.1
- total DFT energy (no corrections) (eV per atom) = -6.245
- space-group type = No. 63
- energy relative to the elements, uncorrected (eV per atom) = -1.04
- V (Å³ per atom) = 24.9

4.
Material: Er3Si3Os2
Method: DFT, PBE-GGA
State: relaxed

CIF file:
```
data_Er3Si3Os2
_chemical_formula_sum 'Er12 Si12 Os8'
_symmetry_space_group_name_H-M 'P 1'
_symmetry_Int_Tables_number 1
_cell_length_a 5.6489
_cell_length_b 7.9555
_cell_length_c 13.9125
_cell_angle_alpha 90.00
_cell_angle_beta 90.00
_cell_angle_gamma 90.00
loop_
_symmetry_equiv_pos_as_xyz
'x,y,z'
loop_
_atom_site_label
_atom_site_type_symbol
_atom_site_fract_x
_atom_site_fract_y
_atom_site_fract_z
Si1 Si 0.1399 0.1895 0.9599
Si2 Si 0.6399 0.3105 0.4599
Si3 Si 0.8601 0.8105 0.0401
Si4 Si 0.3601 0.6895 0.5401
Si5 Si 0.9049 0.8542 0.7500
Si6 Si 0.1399 0.1895 0.5401
Si7 Si 0.8601 0.8105 0.4599
Si8 Si 0.3601 0.6895 0.9599
Si9 Si 0.5951 0.3542 0.7500
Si10 Si 0.6399 0.3105 0.0401
Si11 Si 0.0951 0.1458 0.2500
Si12 Si 0.4049 0.6458 0.2500
Os1 Os 0.1085 0.9064 0.9106
Os2 Os 0.8915 0.0936 0.4106
Os3 Os 0.3915 0.4064 0.9106
Os4 Os 0.3915 0.4064 0.5894
Os5 Os 0.8915 0.0936 0.0894
Os6 Os 0.6085 0.5936 0.4106
Os7 Os 0.6085 0.5936 0.0894
Os8 Os 0.1085 0.9064 0.5894
Er1 Er 0.8814 0.5551 0.6135
Er2 Er 0.3814 0.9449 0.3865
Er3 Er 0.8814 0.5551 0.8865
Er4 Er 0.3706 0.6985 0.7500
Er5 Er 0.6186 0.0551 0.8865
Er6 Er 0.6186 0.0551 0.6135
Er7 Er 0.6294 0.3015 0.2500
Er8 Er 0.8706 0.8015 0.2500
Er9 Er 0.3814 0.9449 0.1135
Er10 Er 0.1294 0.1985 0.7500
Er11 Er 0.1186 0.4449 0.3865
Er12 Er 0.1186 0.4449 0.1135
```

- D(E_F) (states/eV per cell) = 22.1
- total DFT energy (no corrections) (eV per atom) = -7.310
- space-group type = No. 62
- energy relative to the elements, uncorrected (eV per atom) = -0.76
- V (Å³ per atom) = 19.5
- energy above the lowest structure with this stoichiometry (eV/f.u.) = 0.32

5.
Material: Er3Si13Os4
Method: DFT, PBE-GGA
State: relaxed

CIF file:
```
data_Er3Si13Os4
_chemical_formula_sum 'Er6 Si26 Os8'
_symmetry_space_group_name_H-M 'P 1'
_symmetry_Int_Tables_number 1
_cell_length_a 8.7799
_cell_length_b 8.7799
_cell_length_c 8.7799
_cell_angle_alpha 90.00
_cell_angle_beta 90.00
_cell_angle_gamma 90.00
loop_
_symmetry_equiv_pos_as_xyz
'x,y,z'
loop_
_atom_site_label
_atom_site_type_symbol
_atom_site_fract_x
_atom_site_fract_y
_atom_site_fract_z
Er1 Er 0.5000 0.2500 0.0000
Er2 Er 0.0000 0.5000 0.2500
Er3 Er 0.2500 0.0000 0.5000
Er4 Er 0.5000 0.7500 0.0000
Er5 Er 0.7500 0.0000 0.5000
Er6 Er 0.0000 0.5000 0.7500
Si1 Si 0.5000 0.7819 0.6383
Si2 Si 0.8617 0.2819 0.0000
Si3 Si 0.3617 0.5000 0.7819
Si4 Si 0.7819 0.3617 0.5000
Si5 Si 0.8617 0.7181 0.0000
Si6 Si 0.2181 0.3617 0.5000
Si7 Si 0.0000 0.8617 0.2819
Si8 Si 0.2181 0.6383 0.5000
Si9 Si 0.0000 0.0000 0.0000
Si10 Si 0.5000 0.5000 0.5000
Si11 Si 0.5000 0.2181 0.6383
Si12 Si 0.3617 0.5000 0.2181
Si13 Si 0.7181 0.0000 0.8617
Si14 Si 0.2819 0.0000 0.8617
Si15 Si 0.2819 0.0000 0.1383
Si16 Si 0.1383 0.2819 0.0000
Si17 Si 0.6383 0.5000 0.2181
Si18 Si 0.0000 0.1383 0.7181
Si19 Si 0.0000 0.8617 0.7181
Si20 Si 0.7819 0.6383 0.5000
Si21 Si 0.7181 0.0000 0.1383
Si22 Si 0.0000 0.1383 0.2819
Si23 Si 0.1383 0.7181 0.0000
Si24 Si 0.5000 0.7819 0.3617
Si25 Si 0.6383 0.5000 0.7819
Si26 Si 0.5000 0.2181 0.3617
Os1 Os 0.2500 0.2500 0.2500
Os2 Os 0.2500 0.2500 0.7500
Os3 Os 0.2500 0.7500 0.7500
Os4 Os 0.2500 0.7500 0.2500
Os5 Os 0.7500 0.7500 0.2500
Os6 Os 0.7500 0.2500 0.7500
Os7 Os 0.7500 0.2500 0.2500
Os8 Os 0.7500 0.7500 0.7500
```

- D(E_F) (states/eV per cell) = 11.6
- total DFT energy (no corrections) (eV per atom) = -6.915
- space-group type = No. 223
- energy relative to the elements, uncorrected (eV per atom) = -0.46
- V (Å³ per atom) = 16.9

6.
Material: Er2Si4Os3
Method: DFT, PBE-GGA
State: relaxed

CIF file:
```
data_Er2Si4Os3
_chemical_formula_sum 'Er2 Si4 Os3'
_symmetry_space_group_name_H-M 'P 1'
_symmetry_Int_Tables_number 1
_cell_length_a 5.4997
_cell_length_b 5.4997
_cell_length_c 6.5457
_cell_angle_alpha 102.17
_cell_angle_beta 102.17
_cell_angle_gamma 119.88
loop_
_symmetry_equiv_pos_as_xyz
'x,y,z'
loop_
_atom_site_label
_atom_site_type_symbol
_atom_site_fract_x
_atom_site_fract_y
_atom_site_fract_z
Si1 Si 0.0184 0.6645 0.6829
Si2 Si 0.6645 0.0184 0.6829
Si3 Si 0.3355 0.9816 0.3171
Si4 Si 0.9816 0.3355 0.3171
Er1 Er 0.3662 0.3662 0.7324
Er2 Er 0.6338 0.6338 0.2676
Os1 Os 0.0000 0.5000 0.0000
Os2 Os 0.0000 0.0000 0.0000
Os3 Os 0.5000 0.0000 0.0000
```

- D(E_F) (states/eV per cell) = 8.7
- total DFT energy (no corrections) (eV per atom) = -7.594
- space-group type = No. 69
- energy relative to the elements, uncorrected (eV per atom) = -0.43
- V (Å³ per atom) = 17.3
- energy above the lowest structure with this stoichiometry (eV/f.u.) = 1.87

What is the V in the fifth record?
16.9 Å³ per atom

The lowest D(E_F) belongs to which entry?
YErScOs